[1]
A relaxed Ba2ScAg crystal. Source: Alexandria via LeMat-Bulk, functional PBE.

Results
The energy above the lowest structure with this stoichiometry is 0.031 eV per atom. The value obtained for the magnetization is 1.13 μB/f.u. For the density of states at the Fermi level, the calculation gives 16.4 states/eV per cell. Its formation energy from the elements is 6.81 kJ per mole of atoms.

```
data_Ba2ScAg
_chemical_formula_sum 'Ba6 Sc3 Ag3'
_cell_length_a 4.7486
_cell_length_b 4.7486
_cell_length_c 27.0118
_cell_angle_alpha 90.00
_cell_angle_beta 90.00
_cell_angle_gamma 120.00
_symmetry_space_group_name_H-M 'R 3 m'
_symmetry_Int_Tables_number 160
_symmetry_space_group_name_Hall 'R 3 -2"'
loop_
_atom_site_label
_atom_site_fract_x
_atom_site_fract_y
_atom_site_fract_z
Ba1 0.0000 0.0000 0.0000
Ba2 0.0000 0.0000 0.1900
Sc1 0.0000 0.0000 0.4275
Ag1 0.0000 0.0000 0.7636
```

=====

[2]
A relaxed Ba3ScAg crystal. Source: Alexandria via LeMat-Bulk, functional PBE.

Results
The energy above the lowest structure with this stoichiometry is 0.000 eV per atom. The value obtained for the magnetization is 1.09 μB/f.u. For the density of states at the Fermi level, the calculation gives 9.1 states/eV per cell. Its formation energy from the elements is 31.12 kJ per mole of atoms.

```
data_Ba3ScAg
_chemical_formula_sum 'Ba3 Sc1 Ag1'
_cell_length_a 6.3882
_cell_length_b 6.3882
_cell_length_c 6.3882
_cell_angle_alpha 90.00
_cell_angle_beta 90.00
_cell_angle_gamma 90.00
_symmetry_space_group_name_H-M 'P m -3 m'
_symmetry_Int_Tables_number 221
_symmetry_space_group_name_Hall '-P 4 2 3'
loop_
_atom_site_label
_atom_site_fract_x
_atom_site_fract_y
_atom_site_fract_z
Ba1 0.0000 0.0000 0.5000
Sc1 0.5000 0.5000 0.5000
Ag1 0.0000 0.0000 0.0000
```

=====

[3]
A relaxed BaSc2Ag crystal. Source: Alexandria via LeMat-Bulk, functional PBE.

Results
The energy above the lowest structure with this stoichiometry is 0.245 eV per atom. The value obtained for the magnetization is 0.95 μB/f.u. For the density of states at the Fermi level, the calculation gives 4.5 states/eV per cell. Its formation energy from the elements is 27.17 kJ per mole of atoms.

```
data_BaSc2Ag
_chemical_formula_sum 'Ba1 Sc2 Ag1'
_cell_length_a 4.6187
_cell_length_b 4.6187
_cell_length_c 5.4089
_cell_angle_alpha 90.00
_cell_angle_beta 90.00
_cell_angle_gamma 90.00
_symmetry_space_group_name_H-M 'P 4/m m m'
_symmetry_Int_Tables_number 123
_symmetry_space_group_name_Hall '-P 4 2'
loop_
_atom_site_label
_atom_site_fract_x
_atom_site_fract_y
_atom_site_fract_z
Ba1 0.0000 0.0000 0.0000
Sc1 0.0000 0.5000 0.5000
Ag1 0.5000 0.5000 0.0000
```

=====

[4]
A relaxed Ba2ScAg crystal. Source: Alexandria via LeMat-Bulk, functional PBE.

Results
The energy above the lowest structure with this stoichiometry is 0.102 eV per atom. The value obtained for the magnetization is 0.00 μB/f.u. For the density of states at the Fermi level, the calculation gives 6.5 states/eV per cell. Its formation energy from the elements is 13.61 kJ per mole of atoms.

```
data_Ba2ScAg
_chemical_formula_sum 'Ba2 Sc1 Ag1'
_cell_length_a 4.1988
_cell_length_b 4.1988
_cell_length_c 8.4606
_cell_angle_alpha 90.00
_cell_angle_beta 90.00
_cell_angle_gamma 90.00
_symmetry_space_group_name_H-M 'P 4/m m m'
_symmetry_Int_Tables_number 123
_symmetry_space_group_name_Hall '-P 4 2'
loop_
_atom_site_label
_atom_site_fract_x
_atom_site_fract_y
_atom_site_fract_z
Ba1 0.0000 0.0000 0.2304
Sc1 0.5000 0.5000 0.5000
Ag1 0.5000 0.5000 0.0000
```

=====

[5]
A relaxed BaSc2Ag crystal. Source: Alexandria via LeMat-Bulk, functional PBE.

Results
The energy above the lowest structure with this stoichiometry is 0.204 eV per atom. The value obtained for the magnetization is 0.00 μB/f.u. For the density of states at the Fermi level, the calculation gives 6.3 states/eV per cell. Its formation energy from the elements is 23.30 kJ per mole of atoms.

```
data_BaSc2Ag
_chemical_formula_sum 'Ba1 Sc2 Ag1'
_cell_length_a 3.5852
_cell_length_b 5.0894
_cell_length_c 6.4777
_cell_angle_alpha 90.00
_cell_angle_beta 103.95
_cell_angle_gamma 90.00
_symmetry_space_group_name_H-M 'P 1 2/m 1'
_symmetry_Int_Tables_number 10
loop_
_symmetry_equiv_pos_as_xyz
'x,y,z'
'-x,-y,-z'
'-x,y,-z'
'x,-y,z'
loop_
_atom_site_label
_atom_site_fract_x
_atom_site_fract_y
_atom_site_fract_z
Ba1 0.0000 0.0000 0.0000
Sc1 0.3267 0.5000 0.7020
Ag1 0.5000 0.0000 0.5000
```

=====

[6]
A relaxed Ba2ScAg crystal. Source: Alexandria via LeMat-Bulk, functional PBE.

Results
The energy above the lowest structure with this stoichiometry is 0.064 eV per atom. The value obtained for the magnetization is 0.00 μB/f.u. For the density of states at the Fermi level, the calculation gives 14.2 states/eV per cell. Its formation energy from the elements is 9.99 kJ per mole of atoms.

```
data_Ba2ScAg
_chemical_formula_sum 'Ba4 Sc2 Ag2'
_cell_length_a 4.2282
_cell_length_b 5.5954
_cell_length_c 13.4544
_cell_angle_alpha 90.00
_cell_angle_beta 90.00
_cell_angle_gamma 90.00
_symmetry_space_group_name_H-M 'A m m 2'
_symmetry_Int_Tables_number 38
loop_
_symmetry_equiv_pos_as_xyz
'x,y,z'
'-x,-y,z'
'-x,y,z'
'x,-y,z'
'x,y+1/2,z+1/2'
'-x,-y+1/2,z+1/2'
'-x,y+1/2,z+1/2'
'x,-y+1/2,z+1/2'
loop_
_atom_site_label
_atom_site_fract_x
_atom_site_fract_y
_atom_site_fract_z
Ba1 0.0000 0.0000 0.0000
Ba2 0.5000 0.0000 0.2969
Sc1 0.0000 0.0000 0.6910
Ag1 0.5000 0.0000 0.5555
```

=====

[7]
A relaxed BaSc2Ag crystal. Source: Alexandria via LeMat-Bulk, functional PBE.

Results
The energy above the lowest structure with this stoichiometry is 0.172 eV per atom. The value obtained for the magnetization is 0.47 μB/f.u. For the density of states at the Fermi level, the calculation gives 13.3 states/eV per cell. Its formation energy from the elements is 20.13 kJ per mole of atoms.

```
data_BaSc2Ag
_chemical_formula_sum 'Ba2 Sc4 Ag2'
_cell_length_a 11.1377
_cell_length_b 3.5587
_cell_length_c 6.2082
_cell_angle_alpha 90.00
_cell_angle_beta 103.57
_cell_angle_gamma 90.00
_symmetry_space_group_name_H-M 'C 1 m 1'
_symmetry_Int_Tables_number 8
loop_
_symmetry_equiv_pos_as_xyz
'x,y,z'
'x,-y,z'
'x+1/2,y+1/2,z'
'x+1/2,-y+1/2,z'
loop_
_atom_site_label
_atom_site_fract_x
_atom_site_fract_y
_atom_site_fract_z
Ba1 0.0000 0.0000 0.0000
Sc1 0.2061 0.0000 0.6253
Sc2 0.4616 0.0000 0.4801
Ag1 0.2519 0.5000 0.2828
```

=====

[8]
A relaxed Ba4ScAg crystal. Source: Alexandria via LeMat-Bulk, functional PBE.

Results
The value obtained for the magnetization is 2.78 μB/f.u. For the density of states at the Fermi level, the calculation gives 45.3 states/eV per cell. Its formation energy from the elements is 61.84 kJ per mole of atoms.

```
data_Ba4ScAg
_chemical_formula_sum 'Ba16 Sc4 Ag4'
_cell_length_a 10.3968
_cell_length_b 10.3968
_cell_length_c 10.3968
_cell_angle_alpha 90.00
_cell_angle_beta 90.00
_cell_angle_gamma 90.00
_symmetry_space_group_name_H-M 'F -4 3 m'
_symmetry_Int_Tables_number 216
_symmetry_space_group_name_Hall 'F -4 2 3'
loop_
_atom_site_label
_atom_site_fract_x
_atom_site_fract_y
_atom_site_fract_z
Ba1 0.1248 0.1248 0.1248
Sc1 0.2500 0.2500 0.7500
Ag1 0.0000 0.0000 0.5000
```

=====

[9]
A relaxed Ba2Sc2Ag crystal. Source: Alexandria via LeMat-Bulk, functional PBE.

Results
The value obtained for the magnetization is 0.00 μB/f.u. For the density of states at the Fermi level, the calculation gives 22.0 states/eV per cell. Its formation energy from the elements is 23.47 kJ per mole of atoms.

```
data_Ba2Sc2Ag
_chemical_formula_sum 'Ba4 Sc4 Ag2'
_cell_length_a 7.4929
_cell_length_b 7.4929
_cell_length_c 6.0397
_cell_angle_alpha 90.00
_cell_angle_beta 90.00
_cell_angle_gamma 90.00
_symmetry_space_group_name_H-M 'P 4/m b m'
_symmetry_Int_Tables_number 127
_symmetry_space_group_name_Hall '-P 4 2ab'
loop_
_atom_site_label
_atom_site_fract_x
_atom_site_fract_y
_atom_site_fract_z
Ba1 0.1801 0.3199 0.0000
Sc1 0.1487 0.6487 0.5000
Ag1 0.0000 0.0000 0.5000
```

=====

[10]
A relaxed Ba2ScAg crystal. Source: Alexandria via LeMat-Bulk, functional PBE.

Results
The energy above the lowest structure with this stoichiometry is 0.317 eV per atom. The value obtained for the magnetization is 0.00 μB/f.u. For the density of states at the Fermi level, the calculation gives 15.1 states/eV per cell. Its formation energy from the elements is 34.33 kJ per mole of atoms.

```
data_Ba2ScAg
_chemical_formula_sum 'Ba8 Sc4 Ag4'
_cell_length_a 9.4548
_cell_length_b 9.4548
_cell_length_c 6.9262
_cell_angle_alpha 90.00
_cell_angle_beta 90.00
_cell_angle_gamma 90.00
_symmetry_space_group_name_H-M 'I -4 2 d'
_symmetry_Int_Tables_number 122
_symmetry_space_group_name_Hall 'I -4 2bw'
loop_
_atom_site_label
_atom_site_fract_x
_atom_site_fract_y
_atom_site_fract_z
Ba1 0.2074 0.2500 0.1250
Sc1 0.0000 0.0000 0.5000
Ag1 0.0000 0.0000 0.0000
```

=====

[11]
A relaxed Ba2ScAg2 crystal. Source: Alexandria via LeMat-Bulk, functional PBE.

Results
The energy above the lowest structure with this stoichiometry is 0.000 eV per atom. The value obtained for the magnetization is 0.00 μB/f.u. For the density of states at the Fermi level, the calculation gives 14.1 states/eV per cell. Its formation energy from the elements is -2.81 kJ per mole of atoms.

```
data_Ba2ScAg2
_chemical_formula_sum 'Ba4 Sc2 Ag4'
_cell_length_a 8.0160
_cell_length_b 8.0160
_cell_length_c 5.1825
_cell_angle_alpha 90.00
_cell_angle_beta 90.00
_cell_angle_gamma 90.00
_symmetry_space_group_name_H-M 'P 4/m b m'
_symmetry_Int_Tables_number 127
_symmetry_space_group_name_Hall '-P 4 2ab'
loop_
_atom_site_label
_atom_site_fract_x
_atom_site_fract_y
_atom_site_fract_z
Ba1 0.1734 0.3266 0.0000
Sc1 0.0000 0.0000 0.5000
Ag1 0.1328 0.6328 0.5000
```

=====

[12]
A relaxed Ba2ScAg crystal. Source: Alexandria via LeMat-Bulk, functional PBE.

Results
The energy above the lowest structure with this stoichiometry is 0.265 eV per atom. The value obtained for the magnetization is 0.52 μB/f.u. For the density of states at the Fermi level, the calculation gives 19.2 states/eV per cell. Its formation energy from the elements is 29.36 kJ per mole of atoms.

```
data_Ba2ScAg
_chemical_formula_sum 'Ba8 Sc4 Ag4'
_cell_length_a 8.1071
_cell_length_b 8.1071
_cell_length_c 8.1071
_cell_angle_alpha 90.00
_cell_angle_beta 90.00
_cell_angle_gamma 90.00
_symmetry_space_group_name_H-M 'F -4 3 m'
_symmetry_Int_Tables_number 216
_symmetry_space_group_name_Hall 'F -4 2 3'
loop_
_atom_site_label
_atom_site_fract_x
_atom_site_fract_y
_atom_site_fract_z
Ba1 0.0000 0.0000 0.0000
Ba2 0.2500 0.2500 0.2500
Sc1 0.2500 0.2500 0.7500
Ag1 0.0000 0.0000 0.5000
```

=====

[13]
A relaxed BaSc2Ag crystal. Source: Alexandria via LeMat-Bulk, functional PBE.

Results
The energy above the lowest structure with this stoichiometry is 0.000 eV per atom. The value obtained for the magnetization is 0.68 μB/f.u. For the density of states at the Fermi level, the calculation gives 4.7 states/eV per cell. Its formation energy from the elements is 3.57 kJ per mole of atoms.

```
data_BaSc2Ag
_chemical_formula_sum 'Ba1 Sc2 Ag1'
_cell_length_a 3.7381
_cell_length_b 3.7381
_cell_length_c 8.3282
_cell_angle_alpha 90.00
_cell_angle_beta 90.00
_cell_angle_gamma 90.00
_symmetry_space_group_name_H-M 'P 4 m m'
_symmetry_Int_Tables_number 99
loop_
_symmetry_equiv_pos_as_xyz
'x,y,z'
'-y,x,z'
'-x,-y,z'
'y,-x,z'
'-x,y,z'
'y,x,z'
'x,-y,z'
'-y,-x,z'
loop_
_atom_site_label
_atom_site_fract_x
_atom_site_fract_y
_atom_site_fract_z
Ba1 0.0000 0.0000 0.0000
Sc1 0.0000 0.0000 0.5555
Sc2 0.5000 0.5000 0.3411
Ag1 0.5000 0.5000 0.7152
```

=====

[14]
A relaxed BaSc2Ag crystal. Source: Alexandria via LeMat-Bulk, functional PBE.

Results
The energy above the lowest structure with this stoichiometry is 0.333 eV per atom. The value obtained for the magnetization is 0.00 μB/f.u. For the density of states at the Fermi level, the calculation gives 6.2 states/eV per cell. Its formation energy from the elements is 35.68 kJ per mole of atoms.

```
data_BaSc2Ag
_chemical_formula_sum 'Ba1 Sc2 Ag1'
_cell_length_a 5.2157
_cell_length_b 5.2157
_cell_length_c 3.8840
_cell_angle_alpha 90.00
_cell_angle_beta 90.00
_cell_angle_gamma 90.00
_symmetry_space_group_name_H-M 'P 4/m m m'
_symmetry_Int_Tables_number 123
_symmetry_space_group_name_Hall '-P 4 2'
loop_
_atom_site_label
_atom_site_fract_x
_atom_site_fract_y
_atom_site_fract_z
Ba1 0.0000 0.0000 0.0000
Sc1 0.0000 0.5000 0.5000
Ag1 0.5000 0.5000 0.0000
```